# 1
VIrRu after structural relaxation, computed with PBE-GGA.

The space group is I4mm (No. 107) and the conventional cell measures 2.702, 2.702 and 11.510 Å, with angles of 90.00, 90.00 and 90.00 degrees. Symmetry generates all atoms from V at (0.000, 0.000, 0.000), Ir at (0.000, 0.000, 0.336) and Ru at (0.000, 0.000, 0.665).

Its offset from the most stable computed form is 96 meV/atom. The energy comes out at -9.285 eV/atom. Its crystal system is tetragonal. For the total magnetic moment, the calculation gives 0.0001 μB per atom. Its formation enthalpy at 0 K is -0.200 eV per atom.

***

# 2
V2IrRu after structural relaxation, computed with PBE-GGA.

The space group is P2_1/m (No. 11) and the conventional cell measures 5.225, 4.091 and 5.240 Å, with angles of 90.00, 98.47 and 90.00 degrees. Symmetry generates all atoms from V at (0.095, 0.250, 0.401), V at (0.350, 0.750, 0.173), Ir at (0.155, 0.250, 0.907) and Ru at (0.398, 0.750, 0.655).

The energy comes out at -9.481 eV/atom. Its crystal system is monoclinic. For the total magnetic moment, the calculation gives 0.0000 μB per atom. Its formation enthalpy at 0 K is -0.388 eV per atom.